{"formula": "MnNi2", "functional": "meta-GGA SCAN", "state": "single point on PBEsol structure", "crystal_system": "orthorhombic", "space_group": "Pnma (62)", "formation_enthalpy_0k_kj_per_mol_atoms": -23.2, "energy_ev_per_atom": -17.108, "lattice_angstrom": [[4.9499, 0.0000, 0.0000], [0.0000, 3.5688, 0.0000], [0.0000, 0.0000, 7.4535]], "species": ["Mn", "Mn", "Mn", "Mn", "Ni", "Ni", "Ni", "Ni", "Ni", "Ni", "Ni", "Ni"], "frac_coords": [[0.1404, 0.2500, 0.0935], [0.3596, 0.7500, 0.5935], [0.6404, 0.2500, 0.4065], [0.8596, 0.7500, 0.9065], [0.1107, 0.2500, 0.7544], [0.1330, 0.2500, 0.4210], [0.3670, 0.7500, 0.9210], [0.3893, 0.7500, 0.2544], [0.6107, 0.2500, 0.7456], [0.6330, 0.2500, 0.0790], [0.8670, 0.7500, 0.5790], [0.8893, 0.7500, 0.2456]]}


{"formula": "MnNi", "functional": "meta-GGA SCAN", "state": "single point on PBEsol structure", "crystal_system": "tetragonal", "space_group": "I4_1/amd (141)", "formation_enthalpy_0k_kj_per_mol_atoms": 16.6, "energy_ev_per_atom": -17.043, "lattice_angstrom": [[-1.7453, 1.7453, 3.3670], [1.7453, -1.7453, 3.3670], [1.7453, 1.7453, -3.3670]], "species": ["Mn", "Mn", "Ni", "Ni"], "frac_coords": [[0.3750, 0.6250, 0.7500], [0.6250, 0.3750, 0.2500], [0.1250, 0.8750, 0.2500], [0.8750, 0.1250, 0.7500]]}


{"formula": "Mn5Ni", "functional": "meta-GGA SCAN", "state": "single point on PBEsol structure", "e_above_lowest_polymorph_ev_per_atom": 0.2446, "crystal_system": "monoclinic", "space_group": "Cm (8)", "formation_enthalpy_0k_kj_per_mol_atoms": 7.9, "energy_ev_per_atom": -17.826, "lattice_angstrom": [[4.4649, -1.2227, 0.0000], [4.4649, 1.2227, 0.0000], [-1.4267, 0.0000, 5.6379]], "species": ["Mn", "Mn", "Mn", "Mn", "Mn", "Ni"], "frac_coords": [[0.0000, 0.0000, 0.0000], [0.0544, 0.0544, 0.6210], [0.3332, 0.3332, 0.6683], [0.6662, 0.6662, 0.3368], [0.7224, 0.7224, 0.9453], [0.3888, 0.3888, 0.2804]]}


{"formula": "Mn3Ni", "functional": "meta-GGA SCAN", "state": "single point on PBEsol structure", "crystal_system": "orthorhombic", "space_group": "Pmm2 (25)", "formation_enthalpy_0k_kj_per_mol_atoms": 4.4, "energy_ev_per_atom": -17.689, "lattice_angstrom": [[2.4362, 0.0000, 0.0000], [0.0000, 3.9231, 0.0000], [0.0000, 0.0000, 4.2822]], "species": ["Mn", "Mn", "Mn", "Ni"], "frac_coords": [[0.0000, 0.0000, 0.0000], [0.0000, 0.5000, 0.3242], [0.5000, 0.0000, 0.5001], [0.5000, 0.5000, 0.8303]]}


{"formula": "Mn3Ni2", "functional": "meta-GGA SCAN", "state": "single point on PBEsol structure", "crystal_system": "trigonal", "space_group": "R-3m (166)", "formation_enthalpy_0k_kj_per_mol_atoms": 15.0, "energy_ev_per_atom": -17.267, "lattice_angstrom": [[1.2158, 0.7019, 10.0475], [-1.2158, 0.7019, 10.0475], [0.0000, -1.4038, 10.0475]], "species": ["Mn", "Mn", "Mn", "Ni", "Ni"], "frac_coords": [[0.0000, 0.0000, 0.0000], [0.1983, 0.1983, 0.1983], [0.8017, 0.8017, 0.8017], [0.3998, 0.3998, 0.3998], [0.6002, 0.6002, 0.6002]]}


{"formula": "MnNi3", "functional": "meta-GGA SCAN", "state": "single point on PBEsol structure", "crystal_system": "orthorhombic", "space_group": "Pmm2 (25)", "formation_enthalpy_0k_kj_per_mol_atoms": -12.5, "energy_ev_per_atom": -16.823, "lattice_angstrom": [[2.5260, 0.0000, 0.0000], [0.0000, 4.0234, 0.0000], [0.0000, 0.0000, 4.2456]], "species": ["Mn", "Ni", "Ni", "Ni"], "frac_coords": [[0.0000, 0.0000, 0.0000], [0.0000, 0.5000, 0.3465], [0.5000, 0.0000, 0.4967], [0.5000, 0.5000, 0.8380]]}


{"formula": "MnNi3", "functional": "meta-GGA SCAN", "state": "single point on PBEsol structure", "crystal_system": "orthorhombic", "space_group": "Cmmm (65)", "formation_enthalpy_0k_kj_per_mol_atoms": -15.7, "energy_ev_per_atom": -16.857, "lattice_angstrom": [[2.4817, -3.4524, 0.0000], [2.4817, 3.4524, 0.0000], [0.0000, 0.0000, 2.5295]], "species": ["Mn", "Ni", "Ni", "Ni"], "frac_coords": [[0.0000, 0.0000, 0.0000], [0.0000, 0.5000, 0.5000], [0.5000, 0.0000, 0.5000], [0.5000, 0.5000, 0.0000]]}


{"formula": "Mn24Ni5", "functional": "meta-GGA SCAN", "state": "single point on PBEsol structure", "crystal_system": "cubic", "space_group": "I-43m (217)", "formation_enthalpy_0k_kj_per_mol_atoms": 13.0, "energy_ev_per_atom": -17.762, "lattice_angstrom": [[-4.2305, 4.2305, 4.2305], [4.2305, -4.2305, 4.2305], [4.2305, 4.2305, -4.2305]], "species": ["Mn", "Mn", "Mn", "Mn", "Mn", "Mn", "Mn", "Mn", "Mn", "Mn", "Mn", "Mn", "Mn", "Mn", "Mn", "Mn", "Mn", "Mn", "Mn", "Mn", "Mn", "Mn", "Mn", "Mn", "Ni", "Ni", "Ni", "Ni", "Ni"], "frac_coords": [[0.0000, 0.3229, 0.6104], [0.0000, 0.6104, 0.3229], [0.0000, 0.6259, 0.8049], [0.0000, 0.8049, 0.6259], [0.1789, 0.3741, 0.3741], [0.1951, 0.1951, 0.8211], [0.1951, 0.8211, 0.1951], [0.2874, 0.6771, 0.6771], [0.3229, 0.0000, 0.6104], [0.3229, 0.6104, 0.0000], [0.3741, 0.1789, 0.3741], [0.3741, 0.3741, 0.1789], [0.3896, 0.3896, 0.7126], [0.3896, 0.7126, 0.3896], [0.6104, 0.0000, 0.3229], [0.6104, 0.3229, 0.0000], [0.6259, 0.0000, 0.8049], [0.6259, 0.8049, 0.0000], [0.6771, 0.2874, 0.6771], [0.6771, 0.6771, 0.2874], [0.7126, 0.3896, 0.3896], [0.8049, 0.0000, 0.6259], [0.8049, 0.6259, 0.0000], [0.8211, 0.1951, 0.1951], [0.0000, 0.0000, 0.0000], [0.0000, 0.0000, 0.3549], [0.0000, 0.3549, 0.0000], [0.3549, 0.0000, 0.0000], [0.6451, 0.6451, 0.6451]]}


{"formula": "MnNi3", "functional": "meta-GGA SCAN", "state": "single point on PBEsol structure", "crystal_system": "orthorhombic", "space_group": "Pmmm (47)", "formation_enthalpy_0k_kj_per_mol_atoms": -12.3, "energy_ev_per_atom": -16.821, "lattice_angstrom": [[2.4509, 0.0000, 0.0000], [0.0000, 3.4734, 0.0000], [0.0000, 0.0000, 4.9311]], "species": ["Mn", "Ni", "Ni", "Ni"], "frac_coords": [[0.0000, 0.0000, 0.0000], [0.0000, 0.0000, 0.5000], [0.5000, 0.5000, 0.2509], [0.5000, 0.5000, 0.7491]]}


{"formula": "Mn5Ni", "functional": "meta-GGA SCAN", "state": "single point on PBEsol structure", "e_above_lowest_polymorph_ev_per_atom": 0.2578, "crystal_system": "hexagonal", "space_group": "P-62m (189)", "formation_enthalpy_0k_kj_per_mol_atoms": 9.2, "energy_ev_per_atom": -17.813, "lattice_angstrom": [[4.2601, 0.0000, 0.0000], [-2.1301, 3.6894, 0.0000], [0.0000, 0.0000, 3.9100]], "species": ["Mn", "Mn", "Mn", "Mn", "Mn", "Ni"], "frac_coords": [[0.0000, 0.3341, 0.0000], [0.3333, 0.6667, 0.5000], [0.3341, 0.0000, 0.0000], [0.6659, 0.6659, 0.0000], [0.6667, 0.3333, 0.5000], [0.0000, 0.0000, 0.5000]]}


{"formula": "MnNi", "functional": "meta-GGA SCAN", "state": "single point on PBEsol structure", "crystal_system": "cubic", "space_group": "Pm-3m (221)", "formation_enthalpy_0k_kj_per_mol_atoms": -34.8, "energy_ev_per_atom": -17.575, "lattice_angstrom": [[2.8664, 0.0000, 0.0000], [0.0000, 2.8664, 0.0000], [0.0000, 0.0000, 2.8664]], "species": ["Mn", "Ni"], "frac_coords": [[0.0000, 0.0000, 0.0000], [0.5000, 0.5000, 0.5000]]}


{"formula": "MnNi", "functional": "meta-GGA SCAN", "state": "single point on PBEsol structure", "crystal_system": "tetragonal", "space_group": "P4/mmm (123)", "formation_enthalpy_0k_kj_per_mol_atoms": -2.0, "energy_ev_per_atom": -17.235, "lattice_angstrom": [[2.4179, 0.0000, 0.0000], [0.0000, 2.4179, 0.0000], [0.0000, 0.0000, 3.5716]], "species": ["Mn", "Ni"], "frac_coords": [[0.0000, 0.0000, 0.0000], [0.5000, 0.5000, 0.5000]]}


Repeat the eleventh record exactly.
{"formula": "MnNi", "functional": "meta-GGA SCAN", "state": "single point on PBEsol structure", "crystal_system": "cubic", "space_group": "Pm-3m (221)", "formation_enthalpy_0k_kj_per_mol_atoms": -34.8, "energy_ev_per_atom": -17.575, "lattice_angstrom": [[2.8664, 0.0000, 0.0000], [0.0000, 2.8664, 0.0000], [0.0000, 0.0000, 2.8664]], "species": ["Mn", "Ni"], "frac_coords": [[0.0000, 0.0000, 0.0000], [0.5000, 0.5000, 0.5000]]}


Copy entry 1 word for word.
{"formula": "MnNi2", "functional": "meta-GGA SCAN", "state": "single point on PBEsol structure", "crystal_system": "orthorhombic", "space_group": "Pnma (62)", "formation_enthalpy_0k_kj_per_mol_atoms": -23.2, "energy_ev_per_atom": -17.108, "lattice_angstrom": [[4.9499, 0.0000, 0.0000], [0.0000, 3.5688, 0.0000], [0.0000, 0.0000, 7.4535]], "species": ["Mn", "Mn", "Mn", "Mn", "Ni", "Ni", "Ni", "Ni", "Ni", "Ni", "Ni", "Ni"], "frac_coords": [[0.1404, 0.2500, 0.0935], [0.3596, 0.7500, 0.5935], [0.6404, 0.2500, 0.4065], [0.8596, 0.7500, 0.9065], [0.1107, 0.2500, 0.7544], [0.1330, 0.2500, 0.4210], [0.3670, 0.7500, 0.9210], [0.3893, 0.7500, 0.2544], [0.6107, 0.2500, 0.7456], [0.6330, 0.2500, 0.0790], [0.8670, 0.7500, 0.5790], [0.8893, 0.7500, 0.2456]]}